Record 1
SmZn3Si2 PBE-GGA relaxed; energy relative to the elements, uncorrected = -0.261 eV per atom; M_tot = 0.00 μB/f.u.; calculated total energy = -41.905 eV per cell
1.0
4.206 0.000 0.000
-2.103 7.714 -0.643
0.000 -4.062 7.211
Si Zn Sm
4 6 2
Cartesian
0.000 -0.308 5.027
2.103 3.960 1.541
0.000 3.892 5.421
2.103 -0.241 1.147
0.000 5.175 1.495
0.000 -0.504 2.581
2.103 1.734 2.652
2.103 4.155 3.987
2.103 -1.524 5.073
0.000 1.917 3.916
0.000 2.040 0.345
2.103 1.612 6.223

***

Record 2
TmSc2Au4 PBE-GGA relaxed; M_tot = 0.00 μB/f.u.; formation energy = -0.640 eV per atom; calculated total energy = -34.726 eV per cell
1.0
5.565 0.115 -1.888
-2.741 4.757 -2.100
0.066 -0.115 5.876
Sc Au Tm
2 4 1
Cartesian
2.816 0.000 1.994
1.412 2.436 -1.994
2.783 0.057 -0.944
0.033 -0.057 2.938
-1.370 2.379 -1.050
1.445 2.379 0.944
0.000 0.000 0.000

***

Record 3
NiBi2Pd PBE-GGA relaxed; ΔE to the lowest computed polymorph = 267 meV/atom; M_tot = 0.00 μB/f.u.; formation energy = 0.197 eV per atom; calculated total energy = -17.947 eV per cell
1.0
-1.298 2.563 -1.912
-2.691 -0.590 -2.079
-6.959 2.788 5.349
Bi Ni Pd
2 1 1
Cartesian
-5.661 2.606 -2.007
-5.287 2.156 3.365
-5.474 2.381 0.679
0.000 0.000 0.000

***

Record 4
BeCuAs PBE-GGA relaxed; M_tot = 0.00 μB/f.u.; formation energy = 0.006 eV per atom; calculated total energy = -24.906 eV per cell
1.0
-1.694 3.276 1.254
-2.754 -0.381 -2.727
-3.160 -3.019 3.614
As Cu Be
2 2 2
Cartesian
-5.163 -0.338 2.617
-4.314 -0.834 -0.961
-4.274 1.654 -1.345
-2.049 0.199 -0.614
-3.627 -1.316 1.193
-5.850 0.143 0.463

***

Record 5
TcRh2Se PBE-GGA relaxed; energy relative to the elements, uncorrected = 0.441 eV per atom; M_tot = 0.30 μB/f.u.; calculated total energy = -26.791 eV per cell
1.0
2.775 -0.006 0.000
-1.312 2.445 0.000
0.000 0.000 9.062
Tc Rh Se
1 2 1
Cartesian
0.731 1.220 6.819
0.731 1.220 2.289
0.000 0.000 9.012
0.000 0.000 4.533

***

Record 6
Tm3In2Cu2 PBE-GGA relaxed; M_tot = 0.00 μB/f.u.; formation energy = -0.397 eV per atom; calculated total energy = -29.861 eV per cell
1.0
4.137 0.000 0.549
0.000 3.571 0.000
0.690 0.000 10.666
In Cu Tm
2 2 3
Cartesian
2.990 1.785 9.195
1.837 1.785 2.020
3.359 1.785 6.413
1.468 1.785 4.803
0.000 0.000 0.000
1.166 0.000 7.079
3.661 0.000 4.136